No. 1
# GeN2OF PBE relaxed
data_GeN2OF
_chemical_formula_sum 'Ge1 N2 O1 F1'
_cell_length_a 3.510
_cell_length_b 3.510
_cell_length_c 5.094
_cell_angle_alpha 90.00
_cell_angle_beta 90.00
_cell_angle_gamma 90.00
_symmetry_space_group_name_H-M 'P 1'
_symmetry_Int_Tables_number 1
loop_
_symmetry_equiv_pos_as_xyz
'x,y,z'
loop_
_atom_site_label
_atom_site_fract_x
_atom_site_fract_y
_atom_site_fract_z
N1 0.000 0.500 0.000
O1 0.000 0.000 0.500
Ge1 0.500 0.500 0.500
N2 0.500 0.000 0.000
F1 0.000 0.000 0.000
# Electronic total energy in eV for the cell shown: -18.16



No. 2
# GeN2OF6 PBE relaxed
data_GeN2OF6
_chemical_formula_sum 'Ge1 N2 O1 F6'
_cell_length_a 5.750
_cell_length_b 5.750
_cell_length_c 5.750
_cell_angle_alpha 60.00
_cell_angle_beta 60.00
_cell_angle_gamma 60.00
_symmetry_space_group_name_H-M 'P 1'
_symmetry_Int_Tables_number 1
loop_
_symmetry_equiv_pos_as_xyz
'x,y,z'
loop_
_atom_site_label
_atom_site_fract_x
_atom_site_fract_y
_atom_site_fract_z
N1 0.750 0.750 0.750
F1 0.275 0.725 0.275
Ge1 0.500 0.500 0.500
O1 0.000 0.000 0.000
F2 0.275 0.725 0.725
N2 0.250 0.250 0.250
F3 0.725 0.275 0.725
F4 0.725 0.275 0.275
F5 0.725 0.725 0.275
F6 0.275 0.275 0.725
# Electronic total energy in eV for the cell shown: -36.35



No. 3
# GeN2OF PBE relaxed
data_GeN2OF
_chemical_formula_sum 'Ge1 N2 O1 F1'
_cell_length_a 3.418
_cell_length_b 3.418
_cell_length_c 4.823
_cell_angle_alpha 90.00
_cell_angle_beta 90.00
_cell_angle_gamma 90.00
_symmetry_space_group_name_H-M 'P 1'
_symmetry_Int_Tables_number 1
loop_
_symmetry_equiv_pos_as_xyz
'x,y,z'
loop_
_atom_site_label
_atom_site_fract_x
_atom_site_fract_y
_atom_site_fract_z
N1 0.000 0.500 0.000
F1 0.000 0.000 0.500
Ge1 0.500 0.500 0.500
O1 0.000 0.000 0.000
N2 0.500 0.000 0.000
# Electronic total energy in eV for the cell shown: -20.78



No. 4
# GePNF2 PBE relaxed
data_GePNF2
_chemical_formula_sum 'Ge1 P1 N1 F2'
_cell_length_a 3.965
_cell_length_b 3.965
_cell_length_c 4.067
_cell_angle_alpha 90.00
_cell_angle_beta 90.00
_cell_angle_gamma 90.00
_symmetry_space_group_name_H-M 'P 1'
_symmetry_Int_Tables_number 1
loop_
_symmetry_equiv_pos_as_xyz
'x,y,z'
loop_
_atom_site_label
_atom_site_fract_x
_atom_site_fract_y
_atom_site_fract_z
Ge1 0.000 0.000 0.000
N1 0.000 0.000 0.500
P1 0.500 0.500 0.500
F1 0.500 0.000 0.000
F2 0.000 0.500 0.000
# Excess energy over the best structure of this formula in the dataset in eV/atom: 0.283
# Electronic total energy in eV for the cell shown: -22.30



Uncorrected formation energy list, top to bottom, in kJ per mole of atoms: 191.7, 10.7, 141.3, -4.0
Volume list, top to bottom, in Å³/cell: 62.8, 134.4, 56.3, 63.9